CsScP2H2O8: optimized geometry, GGA-PBEsol.

Lattice parameters (Å, degrees): 5.3540 9.1763 14.5455 90.00 95.39 90.00
Space group P2_1/c (No. 14)
One atom of each set of equivalent atoms:
1 Cs 0.2362 0.0050 0.3907
2 Sc 0.2496 0.0337 0.8494
3 P 0.2169 0.1545 0.0610
4 P 0.2728 0.7483 0.1901
5 H 0.2226 0.7053 0.5392
6 H 0.3417 0.1984 0.6771
7 O 0.0592 0.6183 0.4252
8 O 0.0707 0.6415 0.7090
9 O 0.2337 0.5999 0.2337
10 O 0.2465 0.1784 0.9587
11 O 0.2564 0.7106 0.0820
12 O 0.2804 0.1910 0.6081
13 O 0.4008 0.0422 0.1049
14 O 0.4604 0.1940 0.7797

- Crystal system: monoclinic
- D(E_F): 0.0 states/eV/cell
- Calculated total energy: -401.70 eV per cell